Record 1
# NaAlBi | Alexandria | PBE | optimized geometry
data_NaAlBi
_cell_length_a 4.993
_cell_length_b 4.575
_cell_length_c 4.575
_cell_angle_alpha 120.00
_cell_angle_beta 90.00
_cell_angle_gamma 90.00
_space_group_name_H-M_alt 'P 1'
_space_group_IT_number 1
_space_group_name_Hall 'P 1'
loop_
_atom_site_label
_atom_site_type_symbol
_atom_site_fract_x
_atom_site_fract_y
_atom_site_fract_z
_atom_site_occupancy
Al1 Al 0.276 0.333 0.667 1
Bi1 Bi 0.070 0.000 0.000 1
Na1 Na 0.654 0.667 0.333 1
# * calculated volume: 30.2 A^3/atom
# * electronic total energy: -2.9320 eV per atom
# * offset from the most stable computed form: 10.0 kJ/mol of atoms
# * Fermi-level density of states: 1.5 states/eV/cell

***

Record 2
# LiYTh2 | Alexandria | PBE | optimized geometry
data_LiYTh2
_cell_length_a 3.490
_cell_length_b 3.490
_cell_length_c 9.602
_cell_angle_alpha 90.00
_cell_angle_beta 90.00
_cell_angle_gamma 90.00
_space_group_name_H-M_alt 'P 1'
_space_group_IT_number 1
_space_group_name_Hall 'P 1'
loop_
_atom_site_label
_atom_site_type_symbol
_atom_site_fract_x
_atom_site_fract_y
_atom_site_fract_z
_atom_site_occupancy
Th1 Th 0.000 0.000 0.229 1
Li1 Li 0.500 0.500 0.000 1
Y1 Y 0.500 0.500 0.500 1
Th2 Th 0.000 0.000 0.771 1
# * calculated volume: 29.2 A^3/atom
# * electronic total energy: -5.6396 eV per atom
# * offset from the most stable computed form: 1.6 kJ/mol of atoms
# * Fermi-level density of states: 3.7 states/eV/cell

***

Record 3
# YCuAu | Alexandria | PBE | optimized geometry
data_YCuAu
_cell_length_a 4.485
_cell_length_b 4.485
_cell_length_c 3.514
_cell_angle_alpha 90.00
_cell_angle_beta 90.00
_cell_angle_gamma 120.00
_space_group_name_H-M_alt 'P 1'
_space_group_IT_number 1
_space_group_name_Hall 'P 1'
loop_
_atom_site_label
_atom_site_type_symbol
_atom_site_fract_x
_atom_site_fract_y
_atom_site_fract_z
_atom_site_occupancy
Cu1 Cu 0.667 0.333 0.167 1
Y1 Y 0.333 0.667 0.667 1
Au1 Au 0.000 0.000 0.167 1
# * calculated volume: 20.4 A^3/atom
# * electronic total energy: -5.1679 eV per atom
# * Fermi-level density of states: 2.4 states/eV/cell

***

Record 4
# Sr3Sn9Hg2 | Alexandria | PBE | optimized geometry
data_Sr3Sn9Hg2
_cell_length_a 5.383
_cell_length_b 9.308
_cell_length_c 9.308
_cell_angle_alpha 76.67
_cell_angle_beta 73.19
_cell_angle_gamma 73.19
_space_group_name_H-M_alt 'P 1'
_space_group_IT_number 1
_space_group_name_Hall 'P 1'
loop_
_atom_site_label
_atom_site_type_symbol
_atom_site_fract_x
_atom_site_fract_y
_atom_site_fract_z
_atom_site_occupancy
Sn1 Sn 0.000 0.500 0.500 1
Sn2 Sn 0.144 0.582 0.130 1
Hg1 Hg 0.500 0.663 0.337 1
Hg2 Hg 0.500 0.337 0.663 1
Sn3 Sn 0.644 0.990 0.721 1
Sn4 Sn 0.356 0.279 0.010 1
Sn5 Sn 0.856 0.870 0.418 1
Sn6 Sn 0.356 0.010 0.279 1
Sr1 Sr 0.701 0.299 0.299 1
Sn7 Sn 0.856 0.418 0.870 1
Sr2 Sr 0.299 0.701 0.701 1
Sr3 Sr 0.000 0.000 0.000 1
Sn8 Sn 0.144 0.130 0.582 1
Sn9 Sn 0.644 0.721 0.990 1
# * calculated volume: 30.1 A^3/atom
# * electronic total energy: -3.2790 eV per atom
# * Fermi-level density of states: 5.6 states/eV/cell

***

Record 5
# NaTb2Cd | Alexandria | PBE | optimized geometry
data_NaTb2Cd
_cell_length_a 3.779
_cell_length_b 3.779
_cell_length_c 8.395
_cell_angle_alpha 90.00
_cell_angle_beta 90.00
_cell_angle_gamma 90.00
_space_group_name_H-M_alt 'P 1'
_space_group_IT_number 1
_space_group_name_Hall 'P 1'
loop_
_atom_site_label
_atom_site_type_symbol
_atom_site_fract_x
_atom_site_fract_y
_atom_site_fract_z
_atom_site_occupancy
Cd1 Cd 0.500 0.500 0.000 1
Tb1 Tb 0.000 0.000 0.788 1
Na1 Na 0.500 0.500 0.500 1
Tb2 Tb 0.000 0.000 0.212 1
# * calculated volume: 30.0 A^3/atom
# * electronic total energy: -2.8472 eV per atom
# * offset from the most stable computed form: 0.0 kJ/mol of atoms
# * Fermi-level density of states: 4.6 states/eV/cell

***

Record 6
# LaDyGa | Alexandria | PBE | optimized geometry
data_LaDyGa
_cell_length_a 5.360
_cell_length_b 3.536
_cell_length_c 9.773
_cell_angle_alpha 90.00
_cell_angle_beta 90.00
_cell_angle_gamma 90.00
_space_group_name_H-M_alt 'P 1'
_space_group_IT_number 1
_space_group_name_Hall 'P 1'
loop_
_atom_site_label
_atom_site_type_symbol
_atom_site_fract_x
_atom_site_fract_y
_atom_site_fract_z
_atom_site_occupancy
Dy1 Dy 0.000 0.000 0.500 1
La1 La 0.500 0.999 0.750 1
La2 La 0.500 0.001 0.250 1
Ga1 Ga 0.000 0.501 0.250 1
Ga2 Ga 0.000 0.499 0.750 1
Dy2 Dy 0.000 0.000 0.000 1
# * calculated volume: 30.9 A^3/atom
# * electronic total energy: -4.3957 eV per atom
# * offset from the most stable computed form: 17.2 kJ/mol of atoms
# * Fermi-level density of states: 7.7 states/eV/cell

***

Record 7
# Al2SbRh | Alexandria | PBE | optimized geometry
data_Al2SbRh
_cell_length_a 5.743
_cell_length_b 5.743
_cell_length_c 3.155
_cell_angle_alpha 73.25
_cell_angle_beta 73.25
_cell_angle_gamma 121.24
_space_group_name_H-M_alt 'P 1'
_space_group_IT_number 1
_space_group_name_Hall 'P 1'
loop_
_atom_site_label
_atom_site_type_symbol
_atom_site_fract_x
_atom_site_fract_y
_atom_site_fract_z
_atom_site_occupancy
Rh1 Rh 0.500 0.000 0.500 1
Al1 Al 0.000 0.000 0.000 1
Al2 Al 0.500 0.500 0.000 1
Sb1 Sb 0.000 0.500 0.500 1
# * formation energy from raw total energies: -0.2 eV/f.u.
# * calculated volume: 18.0 A^3/atom
# * electronic total energy: -4.7959 eV per atom
# * Fermi-level density of states: 1.9 states/eV/cell

***

Record 8
# Al2PtCl | Alexandria | PBE | optimized geometry
data_Al2PtCl
_cell_length_a 4.612
_cell_length_b 4.612
_cell_length_c 4.612
_cell_angle_alpha 60.00
_cell_angle_beta 60.00
_cell_angle_gamma 60.00
_space_group_name_H-M_alt 'P 1'
_space_group_IT_number 1
_space_group_name_Hall 'P 1'
loop_
_atom_site_label
_atom_site_type_symbol
_atom_site_fract_x
_atom_site_fract_y
_atom_site_fract_z
_atom_site_occupancy
Pt1 Pt 0.500 0.500 0.500 1
Al1 Al 0.750 0.750 0.750 1
Cl1 Cl 0.000 0.000 0.000 1
Al2 Al 0.250 0.250 0.250 1
# * formation energy from raw total energies: -0.4 eV/f.u.
# * calculated volume: 17.3 A^3/atom
# * electronic total energy: -3.9450 eV per atom
# * offset from the most stable computed form: 66.2 kJ/mol of atoms
# * Fermi-level density of states: 2.5 states/eV/cell

***

Record 9
# Tb3Dy6Ho2Mg | Alexandria | PBE | optimized geometry
data_Tb3Dy6Ho2Mg
_cell_length_a 6.111
_cell_length_b 6.111
_cell_length_c 11.641
_cell_angle_alpha 95.06
_cell_angle_beta 95.06
_cell_angle_gamma 120.04
_space_group_name_H-M_alt 'P 1'
_space_group_IT_number 1
_space_group_name_Hall 'P 1'
loop_
_atom_site_label
_atom_site_type_symbol
_atom_site_fract_x
_atom_site_fract_y
_atom_site_fract_z
_atom_site_occupancy
Tb1 Tb 0.166 0.834 0.500 1
Dy1 Dy 0.082 0.414 0.247 1
Ho1 Ho 0.334 0.666 0.000 1
Ho2 Ho 0.666 0.334 0.000 1
Tb2 Tb 0.834 0.166 0.500 1
Dy2 Dy 0.918 0.586 0.753 1
Dy3 Dy 0.586 0.918 0.753 1
Dy4 Dy 0.748 0.748 0.249 1
Mg1 Mg 0.000 0.000 0.000 1
Dy5 Dy 0.414 0.082 0.247 1
Dy6 Dy 0.252 0.252 0.751 1
Tb3 Tb 0.500 0.500 0.500 1
# * calculated volume: 30.9 A^3/atom
# * electronic total energy: -4.3262 eV per atom
# * Fermi-level density of states: 16.5 states/eV/cell

***

Record 10
# HgAs2Ir | Alexandria | PBE | optimized geometry
data_HgAs2Ir
_cell_length_a 4.149
_cell_length_b 4.150
_cell_length_c 4.243
_cell_angle_alpha 90.00
_cell_angle_beta 90.00
_cell_angle_gamma 90.00
_space_group_name_H-M_alt 'P 1'
_space_group_IT_number 1
_space_group_name_Hall 'P 1'
loop_
_atom_site_label
_atom_site_type_symbol
_atom_site_fract_x
_atom_site_fract_y
_atom_site_fract_z
_atom_site_occupancy
As1 As 0.000 0.000 0.000 1
Hg1 Hg 0.500 0.000 0.500 1
As2 As 0.500 0.500 0.000 1
Ir1 Ir 0.000 0.500 0.500 1
# * calculated volume: 18.3 A^3/atom
# * electronic total energy: -4.0754 eV per atom
# * Fermi-level density of states: 2.7 states/eV/cell

***

Record 11
# ReSb2PtI | Alexandria | PBE | optimized geometry
data_ReSb2PtI
_cell_length_a 5.233
_cell_length_b 5.233
_cell_length_c 5.414
_cell_angle_alpha 90.00
_cell_angle_beta 90.00
_cell_angle_gamma 90.00
_space_group_name_H-M_alt 'P 1'
_space_group_IT_number 1
_space_group_name_Hall 'P 1'
loop_
_atom_site_label
_atom_site_type_symbol
_atom_site_fract_x
_atom_site_fract_y
_atom_site_fract_z
_atom_site_occupancy
Sb1 Sb 0.500 0.000 0.000 1
Pt1 Pt 0.000 0.000 0.000 1
Sb2 Sb 0.000 0.500 0.000 1
I1 I 0.000 0.000 0.500 1
Re1 Re 0.500 0.500 0.500 1
# * formation energy from raw total energies: 6.9 eV/f.u.
# * calculated volume: 29.7 A^3/atom
# * electronic total energy: -4.2735 eV per atom
# * offset from the most stable computed form: 27.7 kJ/mol of atoms
# * Fermi-level density of states: 3.5 states/eV/cell

***

Record 12
# Tb8Te4CSe3 | Alexandria | PBE | optimized geometry
data_Tb8Te4CSe3
_cell_length_a 8.277
_cell_length_b 8.495
_cell_length_c 8.278
_cell_angle_alpha 119.15
_cell_angle_beta 120.00
_cell_angle_gamma 90.00
_space_group_name_H-M_alt 'P 1'
_space_group_IT_number 1
_space_group_name_Hall 'P 1'
loop_
_atom_site_label
_atom_site_type_symbol
_atom_site_fract_x
_atom_site_fract_y
_atom_site_fract_z
_atom_site_occupancy
Tb1 Tb 0.260 0.280 0.520 1
Tb2 Tb 0.216 0.702 0.986 1
Tb3 Tb 0.740 0.720 0.480 1
Te1 Te 0.500 0.000 0.000 1
Se1 Se 0.500 0.500 0.500 1
Te2 Te 0.000 0.000 0.000 1
Tb4 Tb 0.231 0.298 0.014 1
Tb5 Tb 0.784 0.298 0.014 1
Te3 Te 0.500 0.000 0.500 1
Tb6 Tb 0.216 0.702 0.432 1
Tb7 Tb 0.784 0.298 0.568 1
C1 C 0.000 0.500 0.000 1
Se2 Se 0.000 0.500 0.500 1
Tb8 Tb 0.769 0.702 0.986 1
Se3 Se 0.500 0.500 0.000 1
Te4 Te 0.000 0.000 0.500 1
# * formation energy from raw total energies: -22.7 eV/f.u.
# * calculated volume: 26.1 A^3/atom
# * electronic total energy: -5.7497 eV per atom
# * Fermi-level density of states: 6.4 states/eV/cell

***

| no. | magnetic moment (μB per formula unit) |
| --- | --- |
| 1 | 0.00 |
| 2 | 0.00 |
| 3 | 0.00 |
| 4 | 0.00 |
| 5 | 0.27 |
| 6 | 0.01 |
| 7 | 0.00 |
| 8 | 0.00 |
| 9 | 0.00 |
| 10 | 0.00 |
| 11 | 3.26 |
| 12 | 0.00 |